PBE-GGA Sm12Tl6Pb, optimized geometry; total moment = 0.00 μB per formula unit; density of states at the Fermi level = 1.26 states/eV/atom; DFT formation energy = -2.107 eV/f.u.; SG = R-3, No. 148; crystal system = trigonal
1.0
7.338 4.236 3.266
-7.338 4.236 3.266
0.000 -8.473 3.266
Sm Tl Pb
12 6 1
direct
0.026 0.878 0.338
0.078 0.321 0.404
0.122 0.662 0.974
0.321 0.404 0.078
0.338 0.026 0.878
0.404 0.078 0.321
0.596 0.922 0.679
0.662 0.974 0.122
0.679 0.596 0.922
0.878 0.338 0.026
0.922 0.679 0.596
0.974 0.122 0.662
0.240 0.663 0.354
0.337 0.646 0.760
0.354 0.240 0.663
0.646 0.760 0.337
0.663 0.354 0.240
0.760 0.337 0.646
0.000 0.000 0.000